Below is a geometry-optimized Ba2LiV2Si4O14 structure, with properties calculated at the GGA+U level.

Cell and atoms, written as CIF:
```
data_Ba2LiV2Si4O14
_chemical_formula_sum 'Ba2 Li1 V2 Si4 O14'
_cell_length_a 5.5454
_cell_length_b 7.2188
_cell_length_c 8.0968
_cell_angle_alpha 88.68
_cell_angle_beta 73.50
_cell_angle_gamma 85.57
_symmetry_space_group_name_H-M 'P 1'
_symmetry_Int_Tables_number 1
loop_
_symmetry_equiv_pos_as_xyz
'x,y,z'
loop_
_atom_site_label
_atom_site_type_symbol
_atom_site_fract_x
_atom_site_fract_y
_atom_site_fract_z
Ba1 Ba 0.0000 0.0000 0.0000
Ba2 Ba 0.3534 0.4937 0.1971
Li1 Li 0.4413 0.0366 0.1994
V1 V 0.0732 0.4988 0.8072
V2 V 0.1429 0.9317 0.4700
Si1 Si 0.5740 0.7684 0.8197
Si2 Si 0.5806 0.2146 0.7950
Si3 Si 0.7224 0.7152 0.4056
Si4 Si 0.7871 0.2570 0.3851
O1 O 0.0850 0.1715 0.3267
O2 O 0.1163 0.9732 0.6801
O3 O 0.1687 0.5217 0.5966
O4 O 0.2934 0.3067 0.8854
O5 O 0.3026 0.6793 0.8974
O6 O 0.4922 0.8024 0.3303
O7 O 0.5455 0.9956 0.8841
O8 O 0.6423 0.1945 0.2520
O9 O 0.6512 0.1993 0.5855
O10 O 0.6694 0.7580 0.6107
O11 O 0.7694 0.4884 0.3674
O12 O 0.7847 0.6795 0.9112
O13 O 0.7928 0.3114 0.8593
O14 O 0.9924 0.7936 0.3064
```

For the volume, the calculation gives 13.471 Å³ per atom. The value obtained for the mass density is 3.86 g/cm3. The value obtained for the total moment is 3.00 μB per formula unit. For the energy above the most stable polymorph in this dataset, the calculation gives 0.062 eV per atom. The value obtained for the total energy is -7.3986 eV/atom.